1.
# Tb2Ho6Sc

An optimized crystal structure of Tb2Ho6Sc (PBE-GGA, Alexandria).

Lattice parameters (Å, degrees): 16.002 11.415 6.038 90.00 96.18 90.00
Space group C2/c (No. 15)
One atom of each set of equivalent atoms:
Tb 0.170 0.099 0.069 [8 per cell]
Ho 0.048 0.143 0.511 [8 per cell]
Ho 0.112 0.364 0.825 [8 per cell]
Ho 0.206 0.359 0.355 [8 per cell]
Sc 0.000 0.399 0.250 [4 per cell]

Calculated values
total magnetization = 0.0 μB per cell
ΔE_f = 10.0 kJ/mol of atoms
excess energy over the best structure of this formula in the dataset = 72.6 meV per atom

---

2.
# PaMnSb2

An optimized crystal structure of PaMnSb2 (PBE-GGA, Alexandria).

Lattice parameters (Å, degrees): 4.3334 4.3334 18.7017 90.00 90.00 120.00
Space group R-3m (No. 166, hexagonal axes)
One atom of each set of equivalent atoms:
Pa 0.0000 0.0000 0.0000 [3 per cell]
Mn 0.0000 0.0000 0.5000 [3 per cell]
Sb 0.0000 0.0000 0.2391 [6 per cell]

Calculated values
formation energy without anion corrections = -0.09 eV/atom
total magnetization = 12.2 μB per cell

---

3.
# TaAs2Pt

An optimized crystal structure of TaAs2Pt (PBE-GGA, Alexandria).

Lattice parameters (Å, degrees): 5.786 5.786 11.218 90.00 90.00 90.00
Space group I-42d (No. 122)
One atom of each set of equivalent atoms:
Ta 0.000 0.000 0.000 [4 per cell]
As 0.241 0.250 0.625 [8 per cell]
Pt 0.000 0.000 0.500 [4 per cell]

Calculated values
total magnetization = 0.0 μB per cell
ΔE_f = 10.5 kJ/mol of atoms
excess energy over the best structure of this formula in the dataset = 410.6 meV per atom

---

4.
# LiIr2Ru

An optimized crystal structure of LiIr2Ru (PBE-GGA, Alexandria).

Lattice parameters (Å, degrees): 2.755 2.755 7.134 90.00 90.00 90.00
Space group P4/mmm (No. 123)
One atom of each set of equivalent atoms:
Li 0.000 0.000 0.000 [1 per cell]
Ir 0.500 0.500 0.244 [2 per cell]
Ru 0.000 0.000 0.500 [1 per cell]

Calculated values
total magnetization = 0.0 μB per cell
ΔE_f = 0.5 kJ/mol of atoms
excess energy over the best structure of this formula in the dataset = 31.5 meV per atom

---

5.
# Cu2SiTe

An optimized crystal structure of Cu2SiTe (PBE-GGA, Alexandria).

Lattice parameters (Å, degrees): 6.507 6.507 6.507 90.00 90.00 90.00
Space group Fm-3m (No. 225)
One atom of each set of equivalent atoms:
Cu 0.250 0.250 0.250 [8 per cell]
Si 0.000 0.000 0.000 [4 per cell]
Te 0.000 0.000 0.500 [4 per cell]

Calculated values
formation energy without anion corrections = 0.47 eV/atom
total magnetization = 0.0 μB per cell
excess energy over the best structure of this formula in the dataset = 402.7 meV per atom

---

6.
# KAgOs2O

An optimized crystal structure of KAgOs2O (PBE-GGA, Alexandria).

Lattice parameters (Å, degrees): 4.947 4.947 6.408 90.00 90.00 90.00
Space group P4/mmm (No. 123)
One atom of each set of equivalent atoms:
K 0.000 0.000 0.000 [1 per cell]
Ag 0.000 0.000 0.500 [1 per cell]
Os 0.000 0.500 0.500 [2 per cell]
O 0.500 0.500 0.000 [1 per cell]

Calculated values
formation energy without anion corrections = 2.47 eV/atom
total magnetization = 6.9 μB per cell

---

7.
# BRuS3

An optimized crystal structure of BRuS3 (PBE-GGA, Alexandria).

Lattice parameters (Å, degrees): 4.611 4.611 4.611 90.00 90.00 90.00
Space group Pm-3m (No. 221)
One atom of each set of equivalent atoms:
B 0.000 0.000 0.000 [1 per cell]
Ru 0.500 0.500 0.500 [1 per cell]
S 0.000 0.500 0.500 [3 per cell]

Calculated values
formation energy without anion corrections = 1.29 eV/atom
total magnetization = 0.0 μB per cell
excess energy over the best structure of this formula in the dataset = 409.9 meV per atom

---

8.
# TaBe2

An optimized crystal structure of TaBe2 (PBE-GGA, Alexandria).

Lattice parameters (Å, degrees): 4.6219 4.6219 15.0309 90.00 90.00 120.00
Space group P6_3/mmc (No. 194)
One atom of each set of equivalent atoms:
Ta 0.0000 0.0000 0.0920 [4 per cell]
Ta 0.3333 0.6667 0.1563 [4 per cell]
Be 0.0000 0.5000 0.0000 [6 per cell]
Be 0.1609 0.3219 0.7500 [6 per cell]
Be 0.3333 0.6667 0.6278 [4 per cell]

Calculated values
total magnetization = 0.0 μB per cell
ΔE_f = -19.0 kJ/mol of atoms

---

9.
# SmDyAsS

An optimized crystal structure of SmDyAsS (PBE-GGA, Alexandria).

Lattice parameters (Å, degrees): 4.081 4.081 5.733 90.00 90.00 90.00
Space group P4/mmm (No. 123)
One atom of each set of equivalent atoms:
Sm 0.000 0.000 0.000 [1 per cell]
Dy 0.500 0.500 0.500 [1 per cell]
As 0.500 0.500 0.000 [1 per cell]
S 0.000 0.000 0.500 [1 per cell]

Calculated values
formation energy without anion corrections = -1.78 eV/atom
total magnetization = 0.0 μB per cell

---

10.
# TbGd3Ru

An optimized crystal structure of TbGd3Ru (PBE-GGA, Alexandria).

Lattice parameters (Å, degrees): 5.418 5.418 5.418 90.00 90.00 90.00
Space group Pm-3m (No. 221)
One atom of each set of equivalent atoms:
Tb 0.000 0.000 0.000 [1 per cell]
Gd 0.000 0.500 0.500 [3 per cell]
Ru 0.500 0.500 0.500 [1 per cell]

Calculated values
total magnetization = 22.5 μB per cell
ΔE_f = -4.9 kJ/mol of atoms

---

11.
# SrSi3Ag

An optimized crystal structure of SrSi3Ag (PBE-GGA, Alexandria).

Lattice parameters (Å, degrees): 5.530 5.530 5.530 90.00 90.00 90.00
Space group Pm-3m (No. 221)
One atom of each set of equivalent atoms:
Sr 0.000 0.000 0.000 [1 per cell]
Si 0.000 0.000 0.500 [3 per cell]
Ag 0.500 0.500 0.500 [1 per cell]

Calculated values
formation energy without anion corrections = 1.77 eV/atom
total magnetization = 0.0 μB per cell
excess energy over the best structure of this formula in the dataset = 1218.8 meV per atom

---

12.
# NaLiPd4

An optimized crystal structure of NaLiPd4 (PBE-GGA, Alexandria).

Lattice parameters (Å, degrees): 7.522 7.522 7.522 90.00 90.00 90.00
Space group F-43m (No. 216)
One atom of each set of equivalent atoms:
Na 0.000 0.000 0.000 [4 per cell]
Li 0.250 0.250 0.750 [4 per cell]
Pd 0.125 0.125 0.375 [16 per cell]

Calculated values
total magnetization = 0.0 μB per cell
ΔE_f = -17.5 kJ/mol of atoms

---

13.
# Hf2ScGaN

An optimized crystal structure of Hf2ScGaN (PBE-GGA, Alexandria).

Lattice parameters (Å, degrees): 4.381 4.381 4.397 90.00 90.00 90.00
Space group P4/mmm (No. 123)
One atom of each set of equivalent atoms:
Hf 0.000 0.500 0.000 [2 per cell]
Sc 0.000 0.000 0.500 [1 per cell]
Ga 0.500 0.500 0.500 [1 per cell]
N 0.000 0.000 0.000 [1 per cell]

Calculated values
formation energy without anion corrections = -0.92 eV/atom
total magnetization = 0.0 μB per cell